Material: BeTe2Br
Method: DFT, PBE
State: optimized geometry

a b c (Å): 4.1110 4.1110 7.4343
angles (deg): 90.00 90.00 90.00
With the nearest neighbours (Å) after each atom.
Space group P4/mmm (No. 123)
One atom of each set of equivalent atoms:
Be 0.0000 0.0000 0.0000  4 Br 2.91
Te 0.0000 0.5000 0.5000  4 Te 2.91
Br 0.5000 0.5000 0.0000  4 Be 2.91

Summary:
VASP energy: -0.1756 Ry/atom
Raw formation energy: 2.1 eV/f.u.